An optimized crystal structure of CrCuSi2. Source: the Alexandria database, functional PBE.

The structure belongs to space group Pmmm (No. 47); the cell edges are 2.988, 3.114 and 5.244 Å and the angles 90.00°, 90.00° and 90.00°. The distinct sites, in fractional coordinates, are Cr at (0.000, 0.000, 0.000), Cu at (0.000, 0.000, 0.500) and Si at (0.500, 0.500, 0.241).

As for the formation energy (no corrections): -0.026 eV per atom. The calculation puts the theoretical density at 5.84 g/cm3. The calculated total energy comes out at -6.167 eV/atom.